(1)
Entry from Alexandria: crystalline ThMgAsN at its relaxed geometry (PBE).

Formation energy from raw total energies (eV/f.u.): -5.09
Crystal system: trigonal

abc: 4.1845 4.1845 32.4510
angles: 90.00 90.00 120.00
Space group R-3m (No. 166, hexagonal axes)
Unique sites:
Th (0.0000, 0.0000, 0.1228) [6 per cell]
Mg (0.0000, 0.0000, 0.3036) [6 per cell]
As (0.0000, 0.0000, 0.3896) [6 per cell]
N (0.0000, 0.0000, 0.1943) [6 per cell]

(2)
Entry from Alexandria: crystalline Mg2TlAsN at its relaxed geometry (PBE).

Formation energy from raw total energies (eV/f.u.): 2.75
Crystal system: tetragonal

abc: 5.484 5.484 3.751
angles: 90.00 90.00 90.00
Space group P4/mmm (No. 123)
Unique sites:
Mg (0.000, 0.500, 0.000) [2 per cell]
Tl (0.000, 0.000, 0.500) [1 per cell]
As (0.500, 0.500, 0.000) [1 per cell]
N (0.500, 0.500, 0.500) [1 per cell]

(3)
Entry from Alexandria: crystalline Y2MgAsN at its relaxed geometry (PBE).

Formation energy from raw total energies (eV/f.u.): -4.79
Crystal system: tetragonal

abc: 4.829 4.829 4.126
angles: 90.00 90.00 90.00
Space group P4/mmm (No. 123)
Unique sites:
Y (0.000, 0.500, 0.000) [2 per cell]
Mg (0.000, 0.000, 0.500) [1 per cell]
As (0.500, 0.500, 0.500) [1 per cell]
N (0.000, 0.000, 0.000) [1 per cell]

(4)
Entry from Alexandria: crystalline Mg2ZnAsN at its relaxed geometry (PBE).

Formation energy from raw total energies (eV/f.u.): -2.27
Crystal system: tetragonal

abc: 4.282 4.282 4.086
angles: 90.00 90.00 90.00
Space group P4/mmm (No. 123)
Unique sites:
Mg (0.000, 0.500, 0.000) [2 per cell]
Zn (0.000, 0.000, 0.500) [1 per cell]
As (0.500, 0.500, 0.500) [1 per cell]
N (0.000, 0.000, 0.000) [1 per cell]

(5)
Entry from Alexandria: crystalline NaMg2As2 at its relaxed geometry (PBE).

Energy above the most stable polymorph in this dataset (meV/atom): 0
Crystal system: tetragonal
Formation enthalpy at 0 K (meV/atom): -466.8

abc: 4.465 4.465 11.854
angles: 90.00 90.00 90.00
Space group I4/mmm (No. 139)
Unique sites:
Na (0.000, 0.000, 0.000) [2 per cell]
Mg (0.000, 0.500, 0.250) [4 per cell]
As (0.000, 0.000, 0.378) [4 per cell]

(6)
Entry from Alexandria: crystalline NaMgAs3 at its relaxed geometry (PBE).

Energy above the most stable polymorph in this dataset (meV/atom): 0
Crystal system: cubic
Formation enthalpy at 0 K (meV/atom): 293.7

abc: 5.059 5.059 5.059
angles: 90.00 90.00 90.00
Space group Pm-3m (No. 221)
Unique sites:
Na (0.000, 0.000, 0.000) [1 per cell]
Mg (0.500, 0.500, 0.500) [1 per cell]
As (0.000, 0.500, 0.500) [3 per cell]